A geometry-optimized Hf2VSb4 structure. Source: Alexandria via LeMat-Bulk, functional PBE.

The formation energy (no corrections) comes out at -1.64 eV/f.u. Its density of states at the Fermi level is 0.621 states/eV/atom. The calculated volume is 24.59 Å³/atom. The value obtained for the total magnetization is 0.00 μB/f.u.

The structure belongs to space group C2/m (No. 12); the cell edges are 14.507, 3.879 and 6.942 Å and the angles 90.00°, 118.20° and 90.00°. The distinct sites, in fractional coordinates, are Hf at (0.244, 0.000, 0.236), V at (0.000, 0.000, 0.000), Sb at (0.107, 0.000, 0.768) and Sb at (0.108, 0.500, 0.296).